1.
An optimized crystal structure of NiAgPd. Source: the Alexandria database, functional GGA-PBE.

```
data_NiAgPd
_space_group_name_H-M_alt 'P 1 21/m 1'
_space_group_IT_number 11
_cell_length_a 2.833
_cell_length_b 2.839
_cell_length_c 11.028
_cell_angle_alpha 90.00
_cell_angle_beta 90.08
_cell_angle_gamma 90.00
loop_
_space_group_symop_operation_xyz
'x,y,z'
'-x,-y,-z'
'-x,y+1/2,-z'
'x,-y+1/2,z'
loop_
_atom_site_label
_atom_site_fract_x
_atom_site_fract_y
_atom_site_fract_z
_atom_site_occupancy
Ni1 0.249 0.250 0.438 1
Ag1 0.248 0.250 0.098 1
Pd1 0.252 0.250 0.714 1
```

Results
Its formation energy is 23.2 meV per atom.

***

2.
An optimized crystal structure of NiAg2Pd8. Source: the Alexandria database, functional GGA-PBE.

```
data_NiAg2Pd8
_space_group_name_H-M_alt 'C 1 2/m 1'
_space_group_IT_number 12
_cell_length_a 14.295
_cell_length_b 3.944
_cell_length_c 6.301
_cell_angle_alpha 90.00
_cell_angle_beta 105.73
_cell_angle_gamma 90.00
loop_
_space_group_symop_operation_xyz
'x,y,z'
'-x,-y,-z'
'-x,y,-z'
'x,-y,z'
'x+1/2,y+1/2,z'
'-x+1/2,-y+1/2,-z'
'-x+1/2,y+1/2,-z'
'x+1/2,-y+1/2,z'
loop_
_atom_site_label
_atom_site_fract_x
_atom_site_fract_y
_atom_site_fract_z
_atom_site_occupancy
Ni1 0.000 0.000 0.000 1
Ag1 0.227 0.500 0.637 1
Pd1 0.045 0.500 0.729 1
Pd2 0.087 0.000 0.441 1
Pd3 0.130 0.500 0.170 1
Pd4 0.178 0.000 0.909 1
```

Results
Its formation energy is 18.0 meV per atom.

***

3.
An optimized crystal structure of Ni2AgPd2. Source: the Alexandria database, functional GGA-PBE.

```
data_Ni2AgPd2
_space_group_name_H-M_alt 'I 4/m m m'
_space_group_IT_number 139
_space_group_name_Hall '-I 4 2'
_cell_length_a 3.788
_cell_length_b 3.788
_cell_length_c 10.898
_cell_angle_alpha 90.00
_cell_angle_beta 90.00
_cell_angle_gamma 90.00
loop_
_atom_site_label
_atom_site_fract_x
_atom_site_fract_y
_atom_site_fract_z
_atom_site_occupancy
Ni1 0.000 0.000 0.100 1
Ag1 0.000 0.000 0.500 1
Pd1 0.000 0.500 0.250 1
```

Results
Its formation energy is 345.6 meV per atom.

***

no.,total moment (μB per atom),total energy (eV per atom),density of states at the Fermi level (states/eV/cell)
1,0.27,-4.59,5.55
2,0.25,-4.80,37.09
3,0.37,-4.61,12.41